[1]
The following is a DFT calculation (PBE-GGA) of a geometry-optimized Zn3GaPd structure.

```
20
Lattice="-4.1329 -0.1777 -3.7560 0.2003 -7.8858 -2.4384 -5.5485 -4.8349 3.7429" Properties=species:S:1:pos:R:3 pbc="T T T"
Ga -7.4258 -5.6169 -0.3885
Zn -4.2044 -1.1651 -2.8100
Ga -4.5513 -7.1424 -3.4793
Pd -3.4037 -3.2692 -1.5519
Zn -7.8065 -11.5763 -1.0214
Zn -5.1328 -5.2163 -1.6735
Pd -8.1440 -9.7180 -2.7777
Pd -6.0775 -9.6292 -0.8997
Zn -6.4647 -8.8319 1.5665
Zn -4.3483 -7.6821 -0.7781
Zn -1.6747 -1.3221 -1.4302
Zn -5.6908 -10.4281 -3.3655
Ga -2.0553 -7.2815 -2.0631
Pd -1.3372 -3.1804 0.3261
Ga -4.9299 -5.7560 1.0277
Zn -2.6027 -5.3735 -0.2940
Zn -5.2767 -11.7334 0.3584
Zn -3.7903 -2.4703 0.9139
Zn -3.0165 -4.0665 -4.0181
Zn -6.8785 -7.5249 -2.1575
```

Summary:
formation enthalpy at 0 K: -0.86 eV per formula unit
symmetry: P2/c (13)
crystal system: monoclinic


[2]
The following is a DFT calculation (PBE-GGA) of a geometry-optimized CrReRu2 structure.

```
4
Lattice="-2.3764 -2.1439 3.4129 -3.2103 -2.8744 -1.8229 4.5805 0.5175 -0.8017" Properties=species:S:1:pos:R:3 pbc="T T T"
Re -0.2946 -2.0678 1.7031
Cr -2.7934 -2.5092 0.7950
Ru 0.0000 0.0000 0.0000
Ru -0.7116 -2.4331 -0.9148
```

Summary:
formation enthalpy at 0 K: 0.35 eV per formula unit
symmetry: I-4m2 (119)
crystal system: tetragonal


[3]
The following is a DFT calculation (PBE-GGA) of a geometry-optimized Ba3Li3Pb8 structure.

```
14
Lattice="-2.7781 -0.2149 4.1792 -6.7665 -6.9919 -1.8391 3.1886 -8.0990 4.7216" Properties=species:S:1:pos:R:3 pbc="T T T"
Ba -2.9418 -3.2583 3.9139
Li -1.3891 -0.1075 2.0896
Li 1.2360 -7.8818 3.4347
Pb -6.3048 -9.1415 1.3758
Pb -3.2601 -10.1593 6.3659
Pb -0.0513 -6.1643 5.6859
Pb -0.2476 -9.8151 5.3677
Pb -3.0959 -5.1465 0.6958
Ba -3.4143 -12.0475 3.1478
Pb -6.1085 -5.4907 1.6940
Pb -6.1150 -9.8418 4.4845
Pb -0.2411 -5.4640 2.5772
Li -4.8139 -7.2090 -0.5523
Ba -3.1780 -7.6529 3.5308
```

Summary:
formation enthalpy at 0 K: -4.92 eV per formula unit
symmetry: Immm (71)
crystal system: orthorhombic


[4]
The following is a DFT calculation (PBE-GGA) of a geometry-optimized NdAl2TcO8 structure.

```
12
Lattice="-1.3632 -1.2203 -4.2739 -2.9386 -3.1892 1.6710 -4.6293 4.3835 0.2250" Properties=species:S:1:pos:R:3 pbc="T T T"
O -5.3767 1.8454 -2.8362
O -3.7513 0.7191 -0.7579
O -5.1798 -0.7451 -1.6200
O -6.2829 0.7124 0.5909
Al -3.3086 -1.1085 -1.2452
O -2.6481 -0.7384 -2.9688
Nd -2.3146 2.1917 0.1125
O -3.0310 -3.1069 -1.8328
O -3.5544 -1.8713 0.4583
Al -5.6225 1.0826 -1.1327
Tc 0.0000 0.0000 0.0000
O -5.9001 3.0809 -0.5451
```

Summary:
uncorrected formation energy: -2.205 eV/atom
symmetry: Cmmm (65)
crystal system: orthorhombic